No. 1
# ZrBiRu2Se PBE optimized geometry
data_ZrBiRu2Se
_chemical_formula_sum 'Zr1 Bi1 Ru2 Se1'
_cell_length_a 4.832
_cell_length_b 4.832
_cell_length_c 5.726
_cell_angle_alpha 90.00
_cell_angle_beta 90.00
_cell_angle_gamma 90.00
_space_group_name_H-M_alt 'P 4/m m m'
_space_group_IT_number 123
_space_group_name_Hall '-P 4 2'
loop_
_atom_site_label
_atom_site_type_symbol
_atom_site_fract_x
_atom_site_fract_y
_atom_site_fract_z
Zr1 Zr 0.000 0.000 0.000
Bi1 Bi 0.000 0.000 0.500
Ru1 Ru 0.000 0.500 0.000
Se1 Se 0.500 0.500 0.500
# **Formation energy (no corrections)**: 1297 meV per atom


No. 2
# RbMg3Se4O12 PBE optimized geometry
data_RbMg3Se4O12
_chemical_formula_sum 'Rb3 Mg9 Se12 O36'
_cell_length_a 11.3823
_cell_length_b 11.3823
_cell_length_c 8.2028
_cell_angle_alpha 90.00
_cell_angle_beta 90.00
_cell_angle_gamma 120.00
_space_group_name_H-M_alt 'R 3 2'
_space_group_IT_number 155
_space_group_name_Hall 'R 3 2"'
loop_
_atom_site_label
_atom_site_type_symbol
_atom_site_fract_x
_atom_site_fract_y
_atom_site_fract_z
Rb1 Rb 0.0000 0.0000 0.0000
Mg1 Mg 0.0000 0.5613 0.0000
Se1 Se 0.0000 0.0000 0.5000
Se2 Se 0.0000 0.4460 0.5000
O1 O 0.0000 0.6162 0.5000
O2 O 0.0000 0.8413 0.5000
O3 O 0.0460 0.2355 0.1976
# **Formation energy (no corrections)**: -1068 meV per atom


No. 3
# Li2ZrCu PBE optimized geometry
data_Li2ZrCu
_chemical_formula_sum 'Li2 Zr1 Cu1'
_cell_length_a 2.987
_cell_length_b 4.627
_cell_length_c 5.015
_cell_angle_alpha 90.00
_cell_angle_beta 90.00
_cell_angle_gamma 90.00
_space_group_name_H-M_alt 'P m m m'
_space_group_IT_number 47
loop_
_space_group_symop_operation_xyz
'x,y,z'
'-x,-y,-z'
'-x,-y,z'
'x,y,-z'
'x,-y,-z'
'-x,y,z'
'-x,y,-z'
'x,-y,z'
loop_
_atom_site_label
_atom_site_type_symbol
_atom_site_fract_x
_atom_site_fract_y
_atom_site_fract_z
Li1 Li 0.000 0.000 0.000
Li2 Li 0.500 0.500 0.000
Zr1 Zr 0.000 0.500 0.500
Cu1 Cu 0.500 0.000 0.500
# **Offset from the most stable computed form**: 0.32 eV per formula unit
# **ΔH_f (0 K)**: 0.14 eV per atom


No. 4
# CePr6Ho8 PBE optimized geometry
data_CePr6Ho8
_chemical_formula_sum 'Ce3 Pr18 Ho24'
_cell_length_a 9.1042
_cell_length_b 9.1042
_cell_length_c 20.9680
_cell_angle_alpha 90.00
_cell_angle_beta 90.00
_cell_angle_gamma 120.00
_space_group_name_H-M_alt 'R -3'
_space_group_IT_number 148
_space_group_name_Hall '-R 3'
loop_
_atom_site_label
_atom_site_type_symbol
_atom_site_fract_x
_atom_site_fract_y
_atom_site_fract_z
Ce1 Ce 0.0000 0.0000 0.0000
Pr1 Pr 0.0604 0.8100 0.7107
Ho1 Ho 0.0000 0.0000 0.4230
Ho2 Ho 0.0810 0.5169 0.8060
# **ΔH_f (0 K)**: 0.13 eV per atom


No. 5
# PrPa2MnN4 PBE optimized geometry
data_PrPa2MnN4
_chemical_formula_sum 'Pr4 Pa8 Mn4 N16'
_cell_length_a 3.413
_cell_length_b 11.766
_cell_length_c 11.511
_cell_angle_alpha 90.00
_cell_angle_beta 90.00
_cell_angle_gamma 90.00
_space_group_name_H-M_alt 'C m c m'
_space_group_IT_number 63
_space_group_name_Hall '-C 2c 2'
loop_
_atom_site_label
_atom_site_type_symbol
_atom_site_fract_x
_atom_site_fract_y
_atom_site_fract_z
Pr1 Pr 0.000 0.102 0.250
Pa1 Pa 0.000 0.367 0.057
Mn1 Mn 0.000 0.159 0.750
N1 N 0.000 0.000 0.000
N2 N 0.000 0.268 0.618
N3 N 0.000 0.440 0.250
# **Formation energy (no corrections)**: -1298 meV per atom


No. 6
# Li2YGa9 PBE optimized geometry
data_Li2YGa9
_chemical_formula_sum 'Li2 Y1 Ga9'
_cell_length_a 4.124
_cell_length_b 4.124
_cell_length_c 12.587
_cell_angle_alpha 90.00
_cell_angle_beta 90.00
_cell_angle_gamma 90.00
_space_group_name_H-M_alt 'P 4/m m m'
_space_group_IT_number 123
_space_group_name_Hall '-P 4 2'
loop_
_atom_site_label
_atom_site_type_symbol
_atom_site_fract_x
_atom_site_fract_y
_atom_site_fract_z
Li1 Li 0.000 0.000 0.164
Y1 Y 0.000 0.000 0.500
Ga1 Ga 0.000 0.500 0.000
Ga2 Ga 0.000 0.500 0.319
Ga3 Ga 0.500 0.500 0.166
Ga4 Ga 0.500 0.500 0.500
# **ΔH_f (0 K)**: -0.28 eV per atom


No. 7
# KPrTiO4 PBE optimized geometry
data_KPrTiO4
_chemical_formula_sum 'K2 Pr2 Ti2 O8'
_cell_length_a 6.181
_cell_length_b 6.077
_cell_length_c 7.570
_cell_angle_alpha 90.00
_cell_angle_beta 101.94
_cell_angle_gamma 90.00
_space_group_name_H-M_alt 'P 1 21/m 1'
_space_group_IT_number 11
loop_
_space_group_symop_operation_xyz
'x,y,z'
'-x,-y,-z'
'-x,y+1/2,-z'
'x,-y+1/2,z'
loop_
_atom_site_label
_atom_site_type_symbol
_atom_site_fract_x
_atom_site_fract_y
_atom_site_fract_z
K1 K 0.165 0.250 0.400
Pr1 Pr 0.305 0.250 0.942
Ti1 Ti 0.217 0.750 0.162
O1 O 0.012 0.750 0.305
O2 O 0.041 0.750 0.942
O3 O 0.417 0.520 0.171
# **Formation energy (no corrections)**: -2869 meV per atom


No. 8
# CaZr2F11 PBE optimized geometry
data_CaZr2F11
_chemical_formula_sum 'Ca4 Zr8 F44'
_cell_length_a 7.949
_cell_length_b 10.203
_cell_length_c 10.879
_cell_angle_alpha 90.00
_cell_angle_beta 90.00
_cell_angle_gamma 90.00
_space_group_name_H-M_alt 'I b a m'
_space_group_IT_number 72
_space_group_name_Hall '-I 2 2c'
loop_
_atom_site_label
_atom_site_type_symbol
_atom_site_fract_x
_atom_site_fract_y
_atom_site_fract_z
Ca1 Ca 0.000 0.000 0.250
Zr1 Zr 0.137 0.319 0.000
F1 F 0.000 0.500 0.000
F2 F 0.105 0.181 0.136
F3 F 0.126 0.282 0.500
F4 F 0.235 0.079 0.368
# **Formation energy (no corrections)**: -3437 meV per atom


No. 9
# Rb2ZnSb PBE optimized geometry
data_Rb2ZnSb
_chemical_formula_sum 'Rb8 Zn4 Sb4'
_cell_length_a 11.427
_cell_length_b 8.596
_cell_length_c 6.618
_cell_angle_alpha 90.00
_cell_angle_beta 90.00
_cell_angle_gamma 90.00
_space_group_name_H-M_alt 'C m c m'
_space_group_IT_number 63
_space_group_name_Hall '-C 2c 2'
loop_
_atom_site_label
_atom_site_type_symbol
_atom_site_fract_x
_atom_site_fract_y
_atom_site_fract_z
Rb1 Rb 0.170 0.152 0.250
Zn1 Zn 0.000 0.500 0.000
Sb1 Sb 0.000 0.258 0.750
# **Formation energy (no corrections)**: -178 meV per atom
# **Offset from the most stable computed form**: 0.16 eV per formula unit


No. 10
# MgZrOs PBE optimized geometry
data_MgZrOs
_chemical_formula_sum 'Mg4 Zr4 Os4'
_cell_length_a 6.382
_cell_length_b 6.382
_cell_length_c 6.382
_cell_angle_alpha 90.00
_cell_angle_beta 90.00
_cell_angle_gamma 90.00
_space_group_name_H-M_alt 'F -4 3 m'
_space_group_IT_number 216
_space_group_name_Hall 'F -4 2 3'
loop_
_atom_site_label
_atom_site_type_symbol
_atom_site_fract_x
_atom_site_fract_y
_atom_site_fract_z
Mg1 Mg 0.000 0.000 0.000
Zr1 Zr 0.250 0.250 0.750
Os1 Os 0.000 0.000 0.500
# **ΔH_f (0 K)**: 0.61 eV per atom


Number 1: uncorrected energy -27.98 eV for the cell shown. Number 2: uncorrected energy -301.62 eV for the cell shown. Number 3: uncorrected energy -15.91 eV for the cell shown. Number 4: uncorrected energy -208.07 eV for the cell shown. Number 5: uncorrected energy -306.51 eV for the cell shown. Number 6: uncorrected energy -40.85 eV for the cell shown. Number 7: uncorrected energy -107.38 eV for the cell shown. Number 8: uncorrected energy -351.20 eV for the cell shown. Number 9: uncorrected energy -32.18 eV for the cell shown. Number 10: uncorrected energy -78.14 eV for the cell shown.